Compound: Ba2I2Br
Source: Alexandria via LeMat-Bulk
Functional: PBE-GGA
Structure: optimized geometry

Lattice parameters (Å, degrees): 9.092 9.092 4.949 90.00 90.00 90.00
Space group P4/mbm (No. 127)
One atom of each set of equivalent atoms:
Ba 0.161 0.339 0.000 x4
I 0.145 0.645 0.500 x4
Br 0.000 0.000 0.000 x2

Size of the total moment, μB per cell: 0.0
Total energy, eV/atom: -3.39
Energy above the most stable polymorph in this dataset, meV per atom: 0.0